# 1
{
  "formula": "MgAsSe2",
  "functional": "PBE",
  "state": "optimized geometry",
  "e_tot_ev_per_atom": -3.614,
  "m_tot_mub_per_atom": 0.00,
  "dos_ef_per_ev_atom": 0.2156,
  "de_polymorph_kj_per_mol_fu": 85,
  "crystal_system": "trigonal",
  "cell": [[4.135, 0.000, 0.000], [-2.068, 3.581, 0.000], [0.000, 0.000, 24.074]],
  "species": ["Mg", "Mg", "Mg", "As", "As", "As", "Se", "Se", "Se", "Se", "Se", "Se"],
  "fractional_positions": [[0.000, 0.000, 0.000], [0.333, 0.667, 0.667], [0.667, 0.333, 0.333], [0.000, 0.000, 0.792], [0.333, 0.667, 0.459], [0.667, 0.333, 0.125], [0.000, 0.000, 0.307], [0.000, 0.000, 0.502], [0.333, 0.667, 0.169], [0.333, 0.667, 0.973], [0.667, 0.333, 0.640], [0.667, 0.333, 0.835]]
}

# 2
{
  "formula": "MgAs2Se",
  "functional": "PBE",
  "state": "optimized geometry",
  "e_tot_ev_per_atom": -3.866,
  "m_tot_mub_per_atom": 0.00,
  "dos_ef_per_ev_atom": 0.5578,
  "de_polymorph_kj_per_mol_fu": 56,
  "crystal_system": "monoclinic",
  "cell": [[3.581, 0.000, 0.000], [0.000, 5.465, 0.000], [-0.001, 0.000, 4.308]],
  "species": ["Mg", "As", "As", "Se"],
  "fractional_positions": [[0.000, 0.000, 0.000], [0.499, 0.000, 0.497], [0.501, 0.500, 0.520], [0.994, 0.500, 0.991]]
}

# 3
{
  "formula": "MgAsSe2",
  "functional": "PBE",
  "state": "optimized geometry",
  "e_tot_ev_per_atom": -3.463,
  "m_tot_mub_per_atom": 0.00,
  "dos_ef_per_ev_atom": 0.3708,
  "de_polymorph_kj_per_mol_fu": 143,
  "crystal_system": "tetragonal",
  "cell": [[4.843, 0.000, 0.000], [0.000, 4.843, 0.000], [0.000, 0.000, 3.421]],
  "species": ["Mg", "As", "Se", "Se"],
  "fractional_positions": [[0.000, 0.000, 0.000], [0.500, 0.500, 0.000], [0.000, 0.500, 0.500], [0.500, 0.000, 0.500]]
}

# 4
{
  "formula": "MgAs2Se",
  "functional": "PBE",
  "state": "optimized geometry",
  "e_tot_ev_per_atom": -3.333,
  "m_tot_mub_per_atom": 0.00,
  "dos_ef_per_ev_atom": 1.0720,
  "de_polymorph_kj_per_mol_fu": 262,
  "crystal_system": "trigonal",
  "cell": [[3.001, 0.000, 0.000], [-1.500, 2.599, 0.000], [0.000, 0.000, 33.049]],
  "species": ["Mg", "Mg", "Mg", "As", "As", "As", "As", "As", "As", "Se", "Se", "Se"],
  "fractional_positions": [[0.000, 0.000, 0.000], [0.333, 0.667, 0.667], [0.667, 0.333, 0.333], [0.000, 0.000, 0.266], [0.000, 0.000, 0.734], [0.333, 0.667, 0.401], [0.333, 0.667, 0.932], [0.667, 0.333, 0.068], [0.667, 0.333, 0.599], [0.000, 0.000, 0.500], [0.333, 0.667, 0.167], [0.667, 0.333, 0.833]]
}

Number 2 is which compound? MgAs2Se